DFT (GGA-PBE) results for a relaxed Sr2TlReF crystal.

Lattice parameters (Å, degrees): 5.343 5.343 4.301 90.00 90.00 90.00
Fractional positions:
Sr1 0.000 0.500 0.000
Sr2 0.500 0.000 0.000
Tl1 0.000 0.000 0.500
Re1 0.500 0.500 0.500
F1 0.500 0.500 0.000

Summary:
N(E_F)	4.20	states/eV per cell
theoretical density	7910	kg/m3
E_form (uncorrected)	-0.842	eV/f.u.
magnetic moment	0.20	μB/atom